No. 1
NaSiB | Alexandria via LeMat-Bulk | PBE | relaxed; raw total energy = -11.76 eV/f.u.
1.0
3.6513 0.0000 0.0000
0.0000 4.0396 0.0000
0.0000 0.0000 4.0483
B Na Si
1 1 1
Cartesian
0.0000 2.0198 0.0000
0.0000 0.0000 2.0242
1.8256 2.0198 0.0000

***

No. 2
Na3BSbPO7 | Alexandria via LeMat-Bulk | PBE | relaxed; raw total energy = -81.38 eV/f.u.
1.0
-5.1909 3.9425 2.2242
-1.7578 -4.1155 3.1926
5.1817 2.6482 7.3993
B O Na Sb P
2 14 6 2 2
Cartesian
-0.3997 2.3206 10.9491
-1.3672 0.1546 1.8669
-3.4218 3.9010 4.8969
1.1110 0.7217 6.6455
-2.8779 1.7536 6.1705
-0.4667 -1.2409 6.4423
1.6549 -1.4258 7.9192
-4.8818 -0.0241 4.6449
-1.3003 3.7161 6.3737
-1.5710 2.4953 4.1038
-0.4903 1.2993 1.8845
3.1149 2.4994 8.1712
-0.4104 3.0017 9.7170
-0.1960 -0.0201 8.7122
-1.2767 1.1759 10.9315
-1.3565 -0.5264 3.0991
2.1793 0.2504 9.9741
-2.6771 -0.3920 5.2929
-5.1838 1.5119 6.3669
3.4168 0.9633 6.4491
-3.9462 2.2249 2.8419
0.9101 2.8672 7.5232
-1.9129 1.4268 9.0022
0.1459 1.0485 3.8138
-2.2938 2.9431 5.4253
0.5268 -0.4678 7.3907

***

No. 3
Ac8Co3AuI3 | Alexandria via LeMat-Bulk | PBE | relaxed; raw total energy = -70.52 eV/f.u.
1.0
8.7473 0.0000 0.0000
-4.3737 7.5598 -0.0272
0.0000 -5.0092 8.4210
Co Ac Au I
3 8 1 3
Cartesian
2.1868 1.2753 4.1969
-2.1868 1.2753 4.1969
4.3737 -2.5046 4.2105
-2.0495 3.7175 5.7662
4.3737 0.0122 5.7682
2.0495 3.7175 5.7662
2.3242 -1.1669 2.6277
0.0000 0.1808 5.7719
4.3737 2.3698 2.6219
0.0000 2.5384 2.6257
6.4232 -1.1669 2.6277
0.0000 -2.5046 4.2105
0.0000 0.0000 0.0000
2.1868 3.7799 -0.0136
-2.1868 3.7799 -0.0136

***

No. 4
MgReRh6 | Alexandria via LeMat-Bulk | PBE | relaxed; raw total energy = -59.70 eV/f.u.; DFT formation energy = -0.19 eV/atom
1.0
-1.9593 3.0027 1.4413
-2.6169 -2.4222 1.4890
4.1309 -0.4432 6.5389
Rh Mg Re
6 1 1
Cartesian
0.0918 1.3864 2.4166
-2.2881 0.2903 1.4651
-0.2226 0.0687 4.7346
2.0799 1.1731 5.5636
1.7511 -1.5393 5.5875
-0.2370 -1.3260 2.4405
0.0000 0.0000 0.0000
2.0655 -0.2216 3.2695

***

No. 5
LaFeCoPd2 | Alexandria via LeMat-Bulk | PBE | relaxed; raw total energy = -30.57 eV/f.u.; DFT formation energy = 0.06 eV/atom
1.0
4.7729 0.0000 0.0000
0.0000 4.3547 0.0000
0.0000 0.0000 4.7729
La Pd Co Fe
1 2 1 1
Cartesian
2.3865 2.1773 2.3865
2.3865 0.0000 0.0000
0.0000 0.0000 2.3865
0.0000 2.1773 0.0000
0.0000 0.0000 0.0000

***

No. 6
Sm6Ho2Al | Alexandria via LeMat-Bulk | PBE | relaxed; raw total energy = -41.32 eV/f.u.; DFT formation energy = -0.01 eV/atom
1.0
5.4064 0.0000 0.2584
0.0000 10.2346 0.0001
-0.4938 0.0001 10.2299
Ho Al Sm
4 2 12
Cartesian
2.5669 2.2035 3.0300
-0.3832 2.9138 8.0159
5.2958 7.3210 2.4726
2.3457 8.0313 7.4584
2.7032 5.1173 0.1293
-0.2469 0.0001 5.1149
2.3656 4.7010 7.1564
2.6788 8.3224 0.5588
5.1350 7.0301 5.8031
2.5153 8.9757 3.9938
2.2338 1.9124 9.9297
2.5470 5.5337 3.3321
4.9716 6.3768 9.2381
-0.2224 3.2047 4.6853
-0.0907 0.4165 1.9119
2.3973 1.2591 6.4946
-0.0590 3.8580 1.2503
5.0032 9.8182 8.5766

***

Question: The highest raw total energy belongs to which entry?
Answer: NaSiB